# 1
A plane-wave DFT calculation with PBE-GGA was carried out for a geometry-optimized La3Nd structure.

a = 3.7444 Å, b = 6.4939 Å, c = 7.1322 Å
α = 117.08°, β = 105.22°, γ = 90.00°
With the nearest neighbours (Å) after each atom.
Fractional coordinates of all 4 atoms:
1 La 0.2502 0.5814 0.5004  9 La 3.71-3.75, 3 Nd 3.71-3.73
2 La 0.7498 0.0810 0.4996  9 La 3.71-3.75, 3 Nd 3.71-3.73
3 La 0.5000 0.5021 0.0000  8 La 3.71-3.74, 4 Nd 3.75
4 Nd 0.0000 0.0021 0.0000  10 La 3.71-3.75, 2 Nd 3.74

Output
For the volume, the calculation gives 147.5 Å³/cell. Its space group is Imm2 (44). The electronic total energy comes out at -19.4 eV for the cell shown. The calculation puts the total magnetic moment at 0.00 μB/f.u.



# 2
A plane-wave DFT calculation with PBE-GGA was carried out for a geometry-optimized PmThGa structure.

a = 3.6510 Å, b = 3.6510 Å, c = 6.8516 Å
α = 105.45°, β = 105.45°, γ = 90.00°
With the nearest neighbours (Å) after each atom.
Fractional coordinates of all 3 atoms:
1 Ga 0.6678 0.6678 0.3357  4 Pm 3.17, 4 Th 3.19
2 Pm 0.3125 0.3125 0.6250  4 Ga 3.17
3 Th 0.0197 0.0197 0.0393  4 Ga 3.19

Output
For the volume, the calculation gives 84.6 Å³/cell. Its space group is I4mm (107). The electronic total energy comes out at -15.9 eV for the cell shown. The calculation puts the total magnetic moment at 0.00 μB/f.u.